# 1
First-principles (PBE-GGA) data for an optimized crystal structure of Pm4SnPt3, as listed in Alexandria via LeMat-Bulk.

abc: 4.059 4.503 11.080
angles: 90.00 90.00 90.00
Sites, in units of the cell vectors:
Pt  0.000  0.500  0.585
Sn  0.500  0.500  0.079
Pm  0.500  0.500  0.375
Pm  0.000  0.000  0.148
Pm  0.000  0.500  0.850
Pm  0.500  0.000  0.638
Pt  0.000  0.000  0.416
Pt  0.500  0.000  0.909

Output
ΔE_f   -1039 meV per atom
ρ   10.5 g cm⁻³
DOS at the Fermi energy   5.67 states/eV/cell
Total DFT energy (no corrections)   -49.44 eV per cell

=====

# 2
First-principles (PBE-GGA) data for an optimized crystal structure of Sc2ZnPdPt2, as listed in Alexandria via LeMat-Bulk.

abc: 5.435 5.510 8.083
angles: 109.93 109.65 90.00
Sites, in units of the cell vectors:
Pd  0.500  0.250  0.000
Pd  0.500  0.750  0.000
Pt  0.076  0.363  0.726
Sc  0.887  0.174  0.347
Sc  0.540  0.326  0.653
Pt  0.349  0.137  0.274
Sc  0.460  0.674  0.347
Zn  0.000  0.250  0.000
Pt  0.924  0.637  0.274
Pt  0.651  0.863  0.726
Sc  0.113  0.826  0.653
Zn  0.000  0.750  0.000

Output
ΔE_f   -936 meV per atom
ρ   10.2 g cm⁻³
DOS at the Fermi energy   5.71 states/eV/cell
Total DFT energy (no corrections)   -73.65 eV per cell

=====

# 3
First-principles (PBE-GGA) data for an optimized crystal structure of TaCdIO2, as listed in Alexandria via LeMat-Bulk.

abc: 4.060 4.060 6.072
angles: 90.00 90.00 90.00
Sites, in units of the cell vectors:
Ta  0.000  0.000  0.000
I  0.000  0.000  0.500
O  0.000  0.500  0.000
O  0.500  0.000  0.000
Cd  0.500  0.500  0.500

Output
ρ   7.5 g cm⁻³
E above lowest polymorph   0 meV per atom
Energy relative to the elements, uncorrected   -1.14 eV/atom
DOS at the Fermi energy   1.78 states/eV/cell
Total DFT energy (no corrections)   -29.92 eV per cell

=====

# 4
First-principles (PBE-GGA) data for an optimized crystal structure of YHRh3, as listed in Alexandria via LeMat-Bulk.

abc: 3.190 3.190 16.786
angles: 90.00 90.00 120.00
Sites, in units of the cell vectors:
Y  0.000  0.000  0.000
H  0.667  0.333  0.250
Rh  0.667  0.333  0.128
Rh  0.000  0.000  0.250
Y  0.000  0.000  0.500
Rh  0.333  0.667  0.628
Rh  0.667  0.333  0.372
H  0.333  0.667  0.750
Rh  0.000  0.000  0.750
Rh  0.333  0.667  0.872

Output
ρ   8.9 g cm⁻³
E above lowest polymorph   532 meV per atom
DOS at the Fermi energy   11.01 states/eV/cell
Total DFT energy (no corrections)   -63.36 eV per cell